Entry A
# HgPd6Pt3, relaxed, DFT GGA-PBE
# Total magnetization = 0.00 μB per atom
# Calculated density = 13.99 g cm⁻³
data_HgPd6Pt3
_symmetry_space_group_name_H-M 'C 1 2/m 1'
_symmetry_Int_Tables_number 12
_symmetry_space_group_name_Hall '-C 2y'
_cell_length_a 9.5153
_cell_length_b 5.1890
_cell_length_c 7.1206
_cell_angle_alpha 90.00
_cell_angle_beta 105.93
_cell_angle_gamma 90.00
loop_
_atom_site_label
_atom_site_type_symbol
_atom_site_fract_x
_atom_site_fract_y
_atom_site_fract_z
Hg1 Hg 0.0000 0.0000 0.0000
Pd1 Pd 0.1661 0.2499 0.3122
Pd2 Pd 0.1663 0.5000 0.9225
Pt1 Pt 0.0000 0.5000 0.5000
Pt2 Pt 0.0921 0.0000 0.6736



Entry B
# HgPd6Pt3, relaxed, DFT GGA-PBE
# Total magnetization = 0.00 μB per atom
# Calculated density = 14.86 g cm⁻³
data_HgPd6Pt3
_symmetry_space_group_name_H-M 'P 1 21/m 1'
_symmetry_Int_Tables_number 11
_symmetry_space_group_name_Hall '-P 2yb'
_cell_length_a 8.9252
_cell_length_b 3.9899
_cell_length_c 8.9407
_cell_angle_alpha 90.00
_cell_angle_beta 90.05
_cell_angle_gamma 90.00
loop_
_atom_site_label
_atom_site_type_symbol
_atom_site_fract_x
_atom_site_fract_y
_atom_site_fract_z
Hg1 Hg 0.1083 0.2500 0.4436
Pd1 Pd 0.0042 0.2500 0.7558
Pd2 Pd 0.1996 0.2500 0.1429
Pd3 Pd 0.2039 0.7500 0.6514
Pd4 Pd 0.3063 0.7500 0.3416
Pd5 Pd 0.4004 0.7500 0.0480
Pd6 Pd 0.4040 0.2500 0.5497
Pt1 Pt 0.1029 0.7500 0.9498
Pt2 Pt 0.3043 0.2500 0.8487
Pt3 Pt 0.4993 0.7500 0.7524



Among the structures above, stability is smallest for entry A.